The following is a DFT calculation (PBE) of a geometry-optimized Li2Au structure.

Computed properties:
* size of the total moment: 0.000 μB/f.u.
* space-group type: P6_3/mmc (194)
* energy of formation from the pure elements: -0.89 eV/f.u.

Geometry as CIF:
```
data_Li2Au
_chemical_formula_sum 'Li8 Au4'
_space_group_name_H-M_alt 'P 1'
_space_group_IT_number 1
_cell_length_a 5.038
_cell_length_b 5.038
_cell_length_c 7.924
_cell_angle_alpha 90.00
_cell_angle_beta 90.00
_cell_angle_gamma 120.00
loop_
_space_group_symop_operation_xyz
'x,y,z'
loop_
_atom_site_label
_atom_site_fract_x
_atom_site_fract_y
_atom_site_fract_z
Au1 0.333 0.667 0.064
Au2 0.667 0.333 0.564
Au3 0.667 0.333 0.936
Au4 0.333 0.667 0.436
Li1 0.000 0.000 0.000
Li2 0.822 0.178 0.250
Li3 0.822 0.644 0.250
Li4 0.178 0.356 0.750
Li5 0.644 0.822 0.750
Li6 0.356 0.178 0.250
Li7 0.000 0.000 0.500
Li8 0.178 0.822 0.750
```